# 1
VASP calculation (PBE) on crystalline Sr4U at its relaxed geometry.

The structure belongs to space group Pm-3m (No. 221); the cell edges are 6.539, 6.539 and 6.539 Å and the angles 90.00°, 90.00° and 90.00°. Symmetry generates all atoms from Sr at (0.000, 0.000, 0.000), Sr at (0.000, 0.500, 0.500) and U at (0.500, 0.500, 0.500).

The calculation puts the energy at -2.603 eV per atom. The density of states at the Fermi level comes out at 10.22 states/eV/f.u.



# 2
VASP calculation (PBE) on crystalline Ca10Bi3Pb3 at its relaxed geometry.

The structure belongs to space group P-62m (No. 189); the cell edges are 9.3784, 9.3784 and 7.0415 Å and the angles 90.00°, 90.00° and 120.00°. Symmetry generates all atoms from Ca at (0.0000, 0.2720, 0.0000), Ca at (0.0000, 0.7267, 0.5000), Ca at (0.3333, 0.6667, 0.2425), Bi at (0.0000, 0.3798, 0.5000) and Pb at (0.0000, 0.6229, 0.0000).

The calculation puts the energy at -3.366 eV per atom. The density of states at the Fermi level comes out at 12.51 states/eV/f.u.



# 3
VASP calculation (PBE) on crystalline KNa2TlAg at its relaxed geometry.

The structure belongs to space group P4/mmm (No. 123); the cell edges are 5.996, 5.996 and 5.441 Å and the angles 90.00°, 90.00° and 90.00°. Symmetry generates all atoms from K at (0.000, 0.000, 0.000), Na at (0.000, 0.500, 0.500), Tl at (0.500, 0.500, 0.500) and Ag at (0.500, 0.500, 0.000).

The calculation puts the energy at -1.712 eV per atom. The density of states at the Fermi level comes out at 2.39 states/eV/f.u.



# 4
VASP calculation (PBE) on crystalline YGaRe3 at its relaxed geometry.

The structure belongs to space group Pm-3m (No. 221); the cell edges are 4.878, 4.878 and 4.878 Å and the angles 90.00°, 90.00° and 90.00°. Symmetry generates all atoms from Y at (0.000, 0.000, 0.000), Ga at (0.500, 0.500, 0.500) and Re at (0.000, 0.000, 0.500).

The calculation puts the energy at -6.278 eV per atom. The density of states at the Fermi level comes out at 5.46 states/eV/f.u.



# 5
VASP calculation (PBE) on crystalline UTaAl at its relaxed geometry.

The structure belongs to space group I4mm (No. 107); the cell edges are 2.794, 2.794 and 14.289 Å and the angles 90.00°, 90.00° and 90.00°. Symmetry generates all atoms from U at (0.000, 0.000, 0.000), Ta at (0.000, 0.000, 0.318) and Al at (0.000, 0.000, 0.671).

The calculation puts the energy at -8.951 eV per atom. The density of states at the Fermi level comes out at 4.83 states/eV/f.u.



# 6
VASP calculation (PBE) on crystalline Ba2SbAs3Pd4 at its relaxed geometry.

The structure belongs to space group P-4m2 (No. 115); the cell edges are 4.610, 4.610 and 10.559 Å and the angles 90.00°, 90.00° and 90.00°. Symmetry generates all atoms from Ba at (0.000, 0.500, 0.241), Sb at (0.000, 0.000, 0.500), As at (0.000, 0.500, 0.878), As at (0.500, 0.500, 0.500), Pd at (0.000, 0.000, 0.000), Pd at (0.000, 0.500, 0.630) and Pd at (0.500, 0.500, 0.000).

The calculation puts the energy at -5.016 eV per atom. The density of states at the Fermi level comes out at 5.63 states/eV/f.u. Its formation energy from raw total energies is -748 meV/atom.



# 7
VASP calculation (PBE) on crystalline Cu5GeAu at its relaxed geometry.

The structure belongs to space group Cmmm (No. 65); the cell edges are 5.089, 7.515 and 5.318 Å and the angles 90.00°, 90.00° and 90.00°. Symmetry generates all atoms from Cu at (0.000, 0.000, 0.000), Cu at (0.250, 0.250, 0.246), Ge at (0.000, 0.500, 0.000) and Au at (0.000, 0.000, 0.500).

The calculation puts the energy at -3.989 eV per atom. The density of states at the Fermi level comes out at 2.62 states/eV/f.u.



# 8
VASP calculation (PBE) on crystalline RbSbO3 at its relaxed geometry.

The structure belongs to space group Pmmm (No. 47); the cell edges are 3.099, 3.941 and 6.210 Å and the angles 90.00°, 90.00° and 90.00°. Symmetry generates all atoms from Rb at (0.000, 0.000, 0.000), Sb at (0.000, 0.500, 0.500), O at (0.000, 0.000, 0.500) and O at (0.500, 0.500, 0.281).

The calculation puts the energy at -5.472 eV per atom. Its formation energy from raw total energies is -1479 meV/atom.



# 9
VASP calculation (PBE) on crystalline Pm2CuRh2 at its relaxed geometry.

The structure belongs to space group C2/c (No. 15); the cell edges are 10.062, 5.463 and 7.824 Å and the angles 90.00°, 106.11° and 90.00°. Symmetry generates all atoms from Pm at (0.147, 0.143, 0.151), Cu at (0.000, 0.340, 0.750) and Rh at (0.130, 0.364, 0.508).

The calculation puts the energy at -6.235 eV per atom. The density of states at the Fermi level comes out at 2.02 states/eV/f.u.



# 10
VASP calculation (PBE) on crystalline Tb2PmRh at its relaxed geometry.

The structure belongs to space group Cmcm (No. 63); the cell edges are 3.821, 12.111 and 9.557 Å and the angles 90.00°, 90.00° and 90.00°. Symmetry generates all atoms from Tb at (0.000, 0.140, 0.068), Pm at (0.000, 0.424, 0.250) and Rh at (0.000, 0.260, 0.750).

The calculation puts the energy at -5.803 eV per atom. The density of states at the Fermi level comes out at 5.19 states/eV/f.u.



# 11
VASP calculation (PBE) on crystalline TmScCu at its relaxed geometry.

The structure belongs to space group Amm2 (No. 38); the cell edges are 4.664, 12.098 and 6.952 Å and the angles 90.00°, 90.00° and 90.00°. Symmetry generates all atoms from Tm at (0.000, 0.000, 0.000), Tm at (0.000, 0.202, 0.392), Sc at (0.500, 0.000, 0.333), Sc at (0.500, 0.131, 0.726), Cu at (0.000, 0.000, 0.594) and Cu at (0.500, 0.167, 0.096).

The calculation puts the energy at -5.154 eV per atom. The density of states at the Fermi level comes out at 2.16 states/eV/f.u.



# 12
VASP calculation (PBE) on crystalline TbNd2Cd2Ag2 at its relaxed geometry.

The structure belongs to space group R-3m (No. 166, hexagonal axes); the cell edges are 4.9104, 4.9104 and 26.5261 Å and the angles 90.00°, 90.00° and 120.00°. Symmetry generates all atoms from Tb at (0.0000, 0.0000, 0.0000), Nd at (0.0000, 0.0000, 0.1236), Cd at (0.0000, 0.0000, 0.2677) and Ag at (0.0000, 0.0000, 0.3934).

The calculation puts the energy at -3.291 eV per atom. The density of states at the Fermi level comes out at 6.21 states/eV/f.u.



no.,total moment (μB/f.u.)
1,6.09
2,0.00
3,0.00
4,3.23
5,0.58
6,0.00
7,0.00
8,0.00
9,0.00
10,0.00
11,0.00
12,0.00